(1)
VASP calculation (GGA-PBE) on a relaxed Mg2CuAs crystal.

Structure (POSCAR):
```
Mg2CuAs
1.0
3.851 0.000 0.000
0.000 3.944 0.000
-1.890 0.000 4.833
Mg Cu As
2 1 1
direct
0.000 0.000 0.000
0.286 0.500 0.582
0.722 0.000 0.445
0.572 0.500 0.149
```

Results
Crystal system: monoclinic
Space-group type: No. 6
Size of the total moment in μB/f.u.: 0.0
Formation energy from the elements in kcal/mol of atoms: -6.95

=====

(2)
VASP calculation (GGA-PBE) on a relaxed Ti4Mn2Co3 crystal.

Structure (POSCAR):
```
Ti4Mn2Co3
1.0
4.141 0.000 0.000
-2.071 3.586 0.000
0.000 0.000 7.839
Ti Mn Co
4 2 3
direct
0.000 0.000 0.171
0.000 0.000 0.829
0.333 0.667 0.613
0.667 0.333 0.387
0.333 0.667 0.275
0.667 0.333 0.725
0.000 0.000 0.500
0.333 0.667 0.951
0.667 0.333 0.049
```

Results
Crystal system: trigonal
Space-group type: No. 164
Size of the total moment in μB/f.u.: 3.3
Formation energy from the elements in kcal/mol of atoms: -5.92

=====

(3)
VASP calculation (GGA-PBE) on a relaxed Tb4CeTh3 crystal.

Structure (POSCAR):
```
Tb4CeTh3
1.0
12.875 -1.689 0.000
12.875 1.689 0.000
-0.539 0.000 5.947
Tb Ce Th
4 1 3
direct
0.104 0.104 0.217
0.281 0.281 0.766
0.719 0.719 0.234
0.896 0.896 0.783
0.500 0.500 0.000
0.000 0.000 0.500
0.148 0.148 0.731
0.852 0.852 0.269
```

Results
Crystal system: monoclinic
Space-group type: No. 12
Size of the total moment in μB/f.u.: 0.0
Formation energy from the elements in kcal/mol of atoms: 6.89

=====

(4)
VASP calculation (GGA-PBE) on a relaxed PuHg3O2F6 crystal.

Structure (POSCAR):
```
PuHg3O2F6
1.0
6.147 -3.520 0.000
6.147 3.520 0.000
-0.212 0.000 5.143
Pu Hg O F
1 3 2 6
direct
0.000 0.000 0.000
0.000 0.500 0.500
0.500 0.000 0.500
0.500 0.500 0.500
0.338 0.338 0.603
0.662 0.662 0.397
0.106 0.106 0.346
0.125 0.679 0.155
0.321 0.875 0.845
0.679 0.125 0.155
0.875 0.321 0.845
0.894 0.894 0.654
```

Results
Crystal system: monoclinic
Space-group type: No. 12
Formation energy from raw total energies in eV per atom: -1.95
Size of the total moment in μB/f.u.: 4.0